First-principles (PBE-GGA) data for a relaxed Tb6NdDyTm2 crystal, as listed in Alexandria.

Results
ΔH_f (0 K)	1.229	eV/f.u.
final energy	-89.7	eV per cell

a = 8.7571 Å, b = 8.7571 Å, c = 9.5958 Å
α = 94.06°, β = 94.06°, γ = 117.45°
Closest atoms and distances in Å follow each position.
Element x y z (fractional)
Tb 0.0235 0.5704 0.1818  2 Tb 3.20-3.55, 2 Tm 3.40-3.59, 1 Nd 3.48, 1 Dy 3.54
Tb 0.1176 0.7531 0.5557  7 Tb 3.39-3.76, 1 Tm 3.45, 1 Dy 3.64
Tb 0.2469 0.8824 0.9443  7 Tb 3.39-3.76, 1 Tm 3.45, 1 Dy 3.64
Tb 0.2935 0.5056 0.3792  3 Tb 3.20-3.39, 3 Tm 3.26-3.42, 2 Nd 3.41-3.56
Tb 0.4296 0.9765 0.3182  2 Tb 3.20-3.55, 2 Tm 3.40-3.59, 1 Nd 3.48, 1 Dy 3.54
Tb 0.4944 0.7065 0.1208  3 Tb 3.20-3.39, 3 Tm 3.26-3.42, 2 Nd 3.41-3.56
Tb 0.5056 0.2935 0.8792  3 Tb 3.20-3.39, 3 Tm 3.26-3.42, 2 Nd 3.41-3.56
Tb 0.5704 0.0235 0.6818  2 Tb 3.20-3.55, 2 Tm 3.40-3.59, 1 Nd 3.48, 1 Dy 3.54
Tb 0.7065 0.4944 0.6208  3 Tb 3.20-3.39, 3 Tm 3.26-3.42, 2 Nd 3.41-3.56
Tb 0.7531 0.1176 0.0557  7 Tb 3.39-3.76, 1 Tm 3.45, 1 Dy 3.64
Tb 0.8824 0.2469 0.4443  7 Tb 3.39-3.76, 1 Tm 3.45, 1 Dy 3.64
Tb 0.9765 0.4296 0.8182  2 Tb 3.20-3.55, 2 Tm 3.40-3.59, 1 Nd 3.48, 1 Dy 3.54
Nd 0.4061 0.5939 0.7500  6 Tb 3.41-3.56, 2 Tm 3.56
Nd 0.5939 0.4061 0.2500  6 Tb 3.41-3.56, 2 Tm 3.56
Dy 0.0260 0.9740 0.2500  4 Tm 3.37-3.38, 4 Tb 3.54-3.64
Dy 0.9740 0.0260 0.7500  4 Tm 3.37-3.38, 4 Tb 3.54-3.64
Tm 0.1939 0.2962 0.0451  6 Tb 3.26-3.59, 2 Dy 3.37-3.38, 1 Nd 3.56
Tm 0.2962 0.1939 0.5451  6 Tb 3.26-3.59, 2 Dy 3.37-3.38, 1 Nd 3.56
Tm 0.7038 0.8061 0.4549  6 Tb 3.26-3.59, 2 Dy 3.37-3.38, 1 Nd 3.56
Tm 0.8061 0.7038 0.9549  6 Tb 3.26-3.59, 2 Dy 3.37-3.38, 1 Nd 3.56